First-principles (PBE-GGA) data for a geometry-optimized KCd2Pb structure, as listed in Alexandria.

Cell lengths 11.087, 11.087, 11.087 Å; angles 150.34, 150.34, 42.45 degrees
Positions (direct):
K1 0.000 0.000 0.000
K2 0.750 0.250 0.500
Cd1 0.303 0.625 0.178
Cd2 0.375 0.553 0.678
Cd3 0.447 0.125 0.822
Cd4 0.875 0.697 0.322
Pb1 0.250 0.750 0.500
Pb2 0.500 0.500 0.000

- DFT total energy: -1.587 eV/atom
- DFT formation energy: 72 meV/atom
- Distance to the lowest polymorph of the same formula: 175 meV/atom
- Density of states at the Fermi level: 0.305 states/eV per atom



First-principles (PBE-GGA) data for a geometry-optimized FeOsW2 structure, as listed in Alexandria.

Cell lengths 3.877, 3.877, 3.862 Å; angles 90.00, 90.00, 90.00 degrees
Positions (direct):
Fe1 0.000 0.000 0.000
Os1 0.500 0.500 0.000
W1 0.000 0.500 0.500
W2 0.500 0.000 0.500

- DFT total energy: -11.285 eV/atom
- DFT formation energy: 114 meV/atom
- Distance to the lowest polymorph of the same formula: 5 meV/atom
- Density of states at the Fermi level: 0.904 states/eV per atom



First-principles (PBE-GGA) data for a geometry-optimized Tl2GaI2 structure, as listed in Alexandria.

Cell lengths 8.988, 8.988, 4.783 Å; angles 90.00, 90.00, 90.00 degrees
Positions (direct):
Tl1 0.152 0.348 0.000
Tl2 0.348 0.848 0.000
Tl3 0.652 0.152 0.000
Tl4 0.848 0.652 0.000
Ga1 0.000 0.000 0.500
Ga2 0.500 0.500 0.500
I1 0.161 0.661 0.500
I2 0.339 0.161 0.500
I3 0.661 0.839 0.500
I4 0.839 0.339 0.500

- E_form (uncorrected): -261 meV/atom
- DFT total energy: -2.433 eV/atom
- Density of states at the Fermi level: 0.376 states/eV per atom



First-principles (PBE-GGA) data for a geometry-optimized Ba3Ga9Rh2 structure, as listed in Alexandria.

Cell lengths 8.884, 8.884, 8.884 Å; angles 151.23, 100.36, 86.77 degrees
Positions (direct):
Ba1 0.000 0.000 0.000
Ba2 0.306 0.306 0.000
Ba3 0.694 0.694 0.000
Ga1 0.001 0.677 0.323
Ga2 0.182 0.891 0.291
Ga3 0.354 0.677 0.677
Ga4 0.400 0.109 0.291
Ga5 0.500 0.000 0.500
Ga6 0.600 0.891 0.709
Ga7 0.646 0.323 0.323
Ga8 0.818 0.109 0.709
Ga9 0.999 0.323 0.677
Rh1 0.270 0.500 0.770
Rh2 0.730 0.500 0.230

- DFT total energy: -3.870 eV/atom
- DFT formation energy: -461 meV/atom
- Density of states at the Fermi level: 0.458 states/eV per atom



Number 1: ρ 4.70 Mg/m³. Number 2: ρ 17.55 Mg/m³. Number 3: ρ 6.30 Mg/m³. Number 4: ρ 6.38 Mg/m³.